A relaxed Nd4DyIn3 crystal, computed with PBE.

Structure (CIF):
```
data_Nd4DyIn3
_chemical_formula_sum 'Nd8 Dy2 In6'
_space_group_name_H-M_alt 'C 1 2/m 1'
_space_group_IT_number 12
_cell_length_a 26.475
_cell_length_b 3.761
_cell_length_c 5.305
_cell_angle_alpha 90.00
_cell_angle_beta 90.05
_cell_angle_gamma 90.00
loop_
_space_group_symop_operation_xyz
'x,y,z'
'-x,-y,-z'
'-x,y,-z'
'x,-y,z'
'x+1/2,y+1/2,z'
'-x+1/2,-y+1/2,-z'
'-x+1/2,y+1/2,-z'
'x+1/2,-y+1/2,z'
loop_
_atom_site_label
_atom_site_fract_x
_atom_site_fract_y
_atom_site_fract_z
_atom_site_occupancy
Nd1 0.100 0.000 0.001 1
Nd2 0.192 0.000 0.501 1
Dy1 0.000 0.000 0.500 1
In1 0.000 0.500 0.000 1
In2 0.205 0.500 0.001 1
```

Results
Size of the total moment   0.002 μB per formula unit
Distance to the lowest polymorph of the same formula   170.7 meV/atom
Crystal system   monoclinic
Volume   528 Å³/cell
Formation energy from the elements   -0.16 eV/atom

=====

A relaxed LiZr crystal, computed with PBE.

Structure (CIF):
```
data_LiZr
_chemical_formula_sum 'Li2 Zr2'
_space_group_name_H-M_alt 'P 63/m m c'
_space_group_IT_number 194
_space_group_name_Hall '-P 6c 2c'
_cell_length_a 4.8236
_cell_length_b 4.8236
_cell_length_c 3.6993
_cell_angle_alpha 90.00
_cell_angle_beta 90.00
_cell_angle_gamma 120.00
loop_
_atom_site_label
_atom_site_fract_x
_atom_site_fract_y
_atom_site_fract_z
_atom_site_occupancy
Li1 0.0000 0.0000 0.0000 1
Zr1 0.3333 0.6667 0.2500 1
```

Results
Size of the total moment   0.000 μB per formula unit
Distance to the lowest polymorph of the same formula   438.5 meV/atom
Crystal system   hexagonal
Volume   75 Å³/cell
Formation energy from the elements   0.52 eV/atom

=====

A relaxed CaPmPSe crystal, computed with PBE.

Structure (CIF):
```
data_CaPmPSe
_chemical_formula_sum 'Ca3 Pm3 P3 Se3'
_space_group_name_H-M_alt 'R 3 m'
_space_group_IT_number 160
_space_group_name_Hall 'R 3 -2"'
_cell_length_a 4.1840
_cell_length_b 4.1840
_cell_length_c 20.6225
_cell_angle_alpha 90.00
_cell_angle_beta 90.00
_cell_angle_gamma 120.00
loop_
_atom_site_label
_atom_site_fract_x
_atom_site_fract_y
_atom_site_fract_z
_atom_site_occupancy
Ca1 0.0000 0.0000 0.0000 1
Pm1 0.0000 0.0000 0.5114 1
P1 0.0000 0.0000 0.2516 1
Se1 0.0000 0.0000 0.7543 1
```

Results
Size of the total moment   0.000 μB per formula unit
Formation energy without anion corrections   -1.718 eV/atom
Crystal system   trigonal
Volume   313 Å³/cell

=====

A relaxed Ba3ThIn2O9 crystal, computed with PBE.

Structure (CIF):
```
data_Ba3ThIn2O9
_chemical_formula_sum 'Ba3 Th1 In2 O9'
_space_group_name_H-M_alt 'P -3 m 1'
_space_group_IT_number 164
_space_group_name_Hall '-P 3 2"'
_cell_length_a 6.1579
_cell_length_b 6.1579
_cell_length_c 7.6465
_cell_angle_alpha 90.00
_cell_angle_beta 90.00
_cell_angle_gamma 120.00
loop_
_atom_site_label
_atom_site_fract_x
_atom_site_fract_y
_atom_site_fract_z
_atom_site_occupancy
Ba1 0.0000 0.0000 0.0000 1
Ba2 0.3333 0.6667 0.6987 1
Th1 0.0000 0.0000 0.5000 1
In1 0.3333 0.6667 0.1637 1
O1 0.0000 0.5000 0.0000 1
O2 0.1674 0.3348 0.3236 1
```

Results
Size of the total moment   1.703 μB per formula unit
Formation energy without anion corrections   -2.280 eV/atom
Crystal system   trigonal
Volume   251 Å³/cell

=====

A relaxed Fe2Re2Ge crystal, computed with PBE.

Structure (CIF):
```
data_Fe2Re2Ge
_chemical_formula_sum 'Fe4 Re4 Ge2'
_space_group_name_H-M_alt 'I 4/m m m'
_space_group_IT_number 139
_space_group_name_Hall '-I 4 2'
_cell_length_a 3.190
_cell_length_b 3.190
_cell_length_c 13.675
_cell_angle_alpha 90.00
_cell_angle_beta 90.00
_cell_angle_gamma 90.00
loop_
_atom_site_label
_atom_site_fract_x
_atom_site_fract_y
_atom_site_fract_z
_atom_site_occupancy
Fe1 0.000 0.500 0.250 1
Re1 0.000 0.000 0.105 1
Ge1 0.000 0.000 0.500 1
```

Results
Size of the total moment   1.997 μB per formula unit
Distance to the lowest polymorph of the same formula   48.3 meV/atom
Crystal system   tetragonal
Volume   139 Å³/cell
Formation energy from the elements   0.44 eV/atom

=====

A relaxed ScAg3 crystal, computed with PBE.

Structure (CIF):
```
data_ScAg3
_chemical_formula_sum 'Sc4 Ag12'
_space_group_name_H-M_alt 'I 4/m m m'
_space_group_IT_number 139
_space_group_name_Hall '-I 4 2'
_cell_length_a 4.489
_cell_length_b 4.489
_cell_length_c 14.979
_cell_angle_alpha 90.00
_cell_angle_beta 90.00
_cell_angle_gamma 90.00
loop_
_atom_site_label
_atom_site_fract_x
_atom_site_fract_y
_atom_site_fract_z
_atom_site_occupancy
Sc1 0.000 0.000 0.128 1
Ag1 0.000 0.000 0.376 1
Ag2 0.000 0.500 0.000 1
Ag3 0.000 0.500 0.250 1
```

Results
Size of the total moment   0.000 μB per formula unit
Crystal system   tetragonal
Volume   302 Å³/cell
Formation energy from the elements   -0.14 eV/atom